No. 1
First-principles (GGA-PBE) data for a relaxed structure of B5C7, as listed in Alexandria.

Values from the calculation:
- N(E_F): 5.29 states/eV/cell
- Calculated total energy: -7.83 eV per atom
- Calculated volume: 6.736 Å³/atom
- E above lowest polymorph: 0.0736 eV per atom

Lattice parameters (Å, degrees): 11.9211 2.5906 5.3814 90.00 103.42 90.00
Space group Cm (No. 8)
Symmetry-distinct sites (fractional):
B 0.0000 0.0000 0.0000 (multiplicity 2)
B 0.0067 0.0000 0.5044 (multiplicity 2)
B 0.1394 0.5000 0.3804 (multiplicity 2)
B 0.2571 0.5000 0.0786 (multiplicity 2)
B 0.3911 0.0000 0.4513 (multiplicity 2)
C 0.0772 0.0000 0.2867 (multiplicity 2)
C 0.0811 0.0000 0.7995 (multiplicity 2)
C 0.1539 0.5000 0.8247 (multiplicity 2)
C 0.2420 0.5000 0.6394 (multiplicity 2)
C 0.3186 0.0000 0.6722 (multiplicity 2)
C 0.3271 0.0000 0.1522 (multiplicity 2)
C 0.3976 0.0000 0.9486 (multiplicity 2)

---

No. 2
First-principles (GGA-PBE) data for a relaxed structure of Hf2SiHgAs, as listed in Alexandria.

Values from the calculation:
- N(E_F): 4.26 states/eV/cell
- Calculated total energy: -4.69 eV per atom
- Calculated volume: 27.253 Å³/atom
- Uncorrected formation energy: 1.3665 eV per atom

Lattice parameters (Å, degrees): 5.2821 5.2821 4.8840 90.00 90.00 90.00
Space group P4/mmm (No. 123)
Symmetry-distinct sites (fractional):
Hf 0.0000 0.5000 0.0000 (multiplicity 2)
Si 0.0000 0.0000 0.5000 (multiplicity 1)
Hg 0.5000 0.5000 0.0000 (multiplicity 1)
As 0.5000 0.5000 0.5000 (multiplicity 1)